[1]
Computed, not measured: an optimized crystal structure of Zr3Mo at the PBE level of DFT.

Formation enthalpy at 0 K (eV/atom): 0.161
Energy relative to the lowest polymorph listed for this composition (eV per formula unit): 0.67
V (Å³/f.u.): 83

```
8
Lattice="5.4938 0.0000 0.0000 0.0000 5.4938 0.0000 0.0000 0.0000 5.4938" Properties=species:S:1:pos:R:3 pbc="T T T"
Zr 0.0000 4.1203 2.7469
Zr 1.3734 2.7469 0.0000
Zr 2.7469 0.0000 4.1203
Zr 0.0000 1.3734 2.7469
Zr 2.7469 0.0000 1.3734
Zr 4.1203 2.7469 0.0000
Mo 0.0000 0.0000 0.0000
Mo 2.7469 2.7469 2.7469
```

=====

[2]
Computed, not measured: an optimized crystal structure of ZrMo8 at the PBE level of DFT.

Formation enthalpy at 0 K (eV/atom): 0.259
V (Å³/f.u.): 151

```
9
Lattice="5.3864 -2.1934 1.9410 -1.9511 5.4404 -2.0461 -3.0018 -0.0935 5.3453" Properties=species:S:1:pos:R:3 pbc="T T T"
Mo 0.4523 2.9400 -0.7402
Mo 0.8180 -0.7845 2.4994
Mo -1.6990 1.8342 1.1317
Mo 1.2747 2.1512 1.7729
Mo 2.9830 0.3070 0.6350
Mo -0.8412 1.0023 3.4672
Mo -3.2539 3.5128 2.1675
Mo 1.5666 -1.5024 4.7869
Zr 0.0000 0.0000 0.0000
```

=====

[3]
Computed, not measured: an optimized crystal structure of Zr3Mo at the PBE level of DFT.

Formation enthalpy at 0 K (eV/atom): 0.050
Energy relative to the lowest polymorph listed for this composition (eV per formula unit): 0.23
V (Å³/f.u.): 83

```
8
Lattice="3.6282 -4.9740 0.0000 3.6282 4.9740 0.0000 0.0000 0.0000 4.6200" Properties=species:S:1:pos:R:3 pbc="T T T"
Mo 3.6282 -1.2929 1.1550
Mo 3.6282 1.2929 3.4650
Zr 2.0218 -1.2458 3.4650
Zr 3.6282 -3.8796 3.4650
Zr 5.2346 -1.2458 3.4650
Zr 2.0218 1.2458 1.1550
Zr 3.6282 3.8796 1.1550
Zr 5.2346 1.2458 1.1550
```

=====

[4]
Computed, not measured: an optimized crystal structure of Zr4Mo at the PBE level of DFT.

Formation enthalpy at 0 K (eV/atom): 0.730
Energy relative to the lowest polymorph listed for this composition (eV per formula unit): 0.33
V (Å³/f.u.): 126

```
5
Lattice="2.0753 -5.0638 -0.0998 0.8307 2.2153 4.9358 -5.3726 -0.2096 -1.0251" Properties=species:S:1:pos:R:3 pbc="T T T"
Zr 1.0377 -2.5319 -0.0499
Zr -2.6863 -0.1048 -0.5125
Zr 0.4153 1.1076 2.4679
Zr -1.2333 -1.5291 1.9055
Mo 0.0000 0.0000 0.0000
```